## LaGaPb3 (GGA-PBE)

Data for a relaxed structure of LaGaPb3.

Cell and atoms, written as POSCAR:
```
LaGaPb3
1.0
5.4739 0.0000 0.0000
0.0000 5.4739 0.0000
0.0000 0.0000 5.4739
Ga La Pb
1 1 3
Cartesian
0.0000 0.0000 0.0000
2.7369 2.7369 2.7369
0.0000 2.7369 0.0000
0.0000 0.0000 2.7369
2.7369 0.0000 0.0000
```

Values from the calculation:
Calculated volume in Å³ per cell: 164.0
Calculated density in g/cm3: 8.41
Size of the total moment in μB per atom: 0.000
Electronic total energy in eV/f.u.: -18.76
Space group: Pm-3m, No. 221
Density of states at the Fermi level in states/eV/f.u.: 4.231